Sr3NbSi (PBE-GGA, relaxed); formation energy (no corrections) = 1147 meV per atom; D(E_F) = 1.461 states/eV/atom
1.0
5.730 0.000 0.000
0.000 5.730 0.000
0.000 0.000 5.730
Nb Si Sr
1 1 3
Cartesian
0.000 0.000 0.000
2.865 2.865 2.865
0.000 2.865 0.000
0.000 0.000 2.865
2.865 0.000 0.000